A geometry-optimized TbErTe2 structure, computed with PBE-GGA.

Geometry as CIF:
```
data_TbErTe2
_chemical_formula_sum 'Tb4 Er4 Te8'
_space_group_name_H-M_alt 'F m -3 m'
_space_group_IT_number 225
_space_group_name_Hall '-F 4 2 3'
_cell_length_a 7.552
_cell_length_b 7.552
_cell_length_c 7.552
_cell_angle_alpha 90.00
_cell_angle_beta 90.00
_cell_angle_gamma 90.00
loop_
_atom_site_label
_atom_site_type_symbol
_atom_site_fract_x
_atom_site_fract_y
_atom_site_fract_z
_atom_site_occupancy
Tb1 Tb 0.000 0.000 0.000 1
Er1 Er 0.000 0.000 0.500 1
Te1 Te 0.250 0.250 0.250 1
```

---

# YErCdAu PBE-GGA optimized geometry
# formation energy = -0.6039 eV per atom
data_YErCdAu
_chemical_formula_sum 'Y1 Er1 Cd1 Au1'
_space_group_name_H-M_alt 'P 4 m m'
_space_group_IT_number 99
_cell_length_a 3.671
_cell_length_b 3.671
_cell_length_c 7.251
_cell_angle_alpha 90.00
_cell_angle_beta 90.00
_cell_angle_gamma 90.00
loop_
_space_group_symop_operation_xyz
'x,y,z'
'-y,x,z'
'-x,-y,z'
'y,-x,z'
'-x,y,z'
'y,x,z'
'x,-y,z'
'-y,-x,z'
loop_
_atom_site_label
_atom_site_type_symbol
_atom_site_fract_x
_atom_site_fract_y
_atom_site_fract_z
_atom_site_occupancy
Y1 Y 0.000 0.000 0.000 1
Er1 Er 0.000 0.000 0.525 1
Cd1 Cd 0.500 0.500 0.267 1
Au1 Au 0.500 0.500 0.752 1

---

A geometry-optimized K4TeRh structure, computed with PBE-GGA.

Geometry as CIF:
```
data_K4TeRh
_chemical_formula_sum 'K16 Te4 Rh4'
_space_group_name_H-M_alt 'F -4 3 m'
_space_group_IT_number 216
_space_group_name_Hall 'F -4 2 3'
_cell_length_a 9.371
_cell_length_b 9.371
_cell_length_c 9.371
_cell_angle_alpha 90.00
_cell_angle_beta 90.00
_cell_angle_gamma 90.00
loop_
_atom_site_label
_atom_site_type_symbol
_atom_site_fract_x
_atom_site_fract_y
_atom_site_fract_z
_atom_site_occupancy
K1 K 0.124 0.124 0.376 1
Te1 Te 0.250 0.250 0.750 1
Rh1 Rh 0.000 0.000 0.000 1
```

---

# Zr2AlCdCo PBE-GGA optimized geometry
# formation energy = 1.3161 eV per atom
data_Zr2AlCdCo
_chemical_formula_sum 'Zr2 Al1 Cd1 Co1'
_space_group_name_H-M_alt 'P 4/m m m'
_space_group_IT_number 123
_space_group_name_Hall '-P 4 2'
_cell_length_a 5.255
_cell_length_b 5.255
_cell_length_c 4.622
_cell_angle_alpha 90.00
_cell_angle_beta 90.00
_cell_angle_gamma 90.00
loop_
_atom_site_label
_atom_site_type_symbol
_atom_site_fract_x
_atom_site_fract_y
_atom_site_fract_z
_atom_site_occupancy
Zr1 Zr 0.000 0.500 0.000 1
Al1 Al 0.000 0.000 0.500 1
Cd1 Cd 0.000 0.000 0.000 1
Co1 Co 0.500 0.500 0.500 1

---

# Cs2AlP2 PBE-GGA optimized geometry
# formation energy = -0.0235 eV per atom
data_Cs2AlP2
_chemical_formula_sum 'Cs4 Al2 P4'
_space_group_name_H-M_alt 'P 4/m b m'
_space_group_IT_number 127
_space_group_name_Hall '-P 4 2ab'
_cell_length_a 6.875
_cell_length_b 6.875
_cell_length_c 6.038
_cell_angle_alpha 90.00
_cell_angle_beta 90.00
_cell_angle_gamma 90.00
loop_
_atom_site_label
_atom_site_type_symbol
_atom_site_fract_x
_atom_site_fract_y
_atom_site_fract_z
_atom_site_occupancy
Cs1 Cs 0.184 0.316 0.000 1
Al1 Al 0.000 0.000 0.500 1
P1 P 0.114 0.614 0.500 1

---

# Tb3TlRh8 PBE-GGA optimized geometry
# formation energy = -0.5606 eV per atom
data_Tb3TlRh8
_chemical_formula_sum 'Tb9 Tl3 Rh24'
_space_group_name_H-M_alt 'R 3 m'
_space_group_IT_number 160
_space_group_name_Hall 'R 3 -2"'
_cell_length_a 5.3186
_cell_length_b 5.3186
_cell_length_c 26.3212
_cell_angle_alpha 90.00
_cell_angle_beta 90.00
_cell_angle_gamma 120.00
loop_
_atom_site_label
_atom_site_type_symbol
_atom_site_fract_x
_atom_site_fract_y
_atom_site_fract_z
_atom_site_occupancy
Tb1 Tb 0.0000 0.0000 0.0000 1
Tb2 Tb 0.0000 0.0000 0.1284 1
Tb3 Tb 0.0000 0.0000 0.6197 1
Tl1 Tl 0.0000 0.0000 0.4980 1
Rh1 Rh 0.0000 0.0000 0.3120 1
Rh2 Rh 0.0000 0.0000 0.8122 1
Rh3 Rh 0.0002 0.5001 0.0613 1
Rh4 Rh 0.0008 0.5004 0.5625 1

---

# Mg2Zr2Cu PBE-GGA optimized geometry
# formation energy = 0.1903 eV per atom
data_Mg2Zr2Cu
_chemical_formula_sum 'Mg4 Zr4 Cu2'
_space_group_name_H-M_alt 'P 4/m b m'
_space_group_IT_number 127
_space_group_name_Hall '-P 4 2ab'
_cell_length_a 6.500
_cell_length_b 6.500
_cell_length_c 4.829
_cell_angle_alpha 90.00
_cell_angle_beta 90.00
_cell_angle_gamma 90.00
loop_
_atom_site_label
_atom_site_type_symbol
_atom_site_fract_x
_atom_site_fract_y
_atom_site_fract_z
_atom_site_occupancy
Mg1 Mg 0.145 0.355 0.000 1
Zr1 Zr 0.169 0.669 0.500 1
Cu1 Cu 0.000 0.000 0.000 1

---

A geometry-optimized MgH4Ir4 structure, computed with PBE-GGA.

Geometry as CIF:
```
data_MgH4Ir4
_chemical_formula_sum 'Mg1 H4 Ir4'
_space_group_name_H-M_alt 'P 1'
_space_group_IT_number 1
_cell_length_a 2.805
_cell_length_b 4.564
_cell_length_c 7.224
_cell_angle_alpha 87.53
_cell_angle_beta 89.96
_cell_angle_gamma 90.00
loop_
_space_group_symop_operation_xyz
'x,y,z'
loop_
_atom_site_label
_atom_site_type_symbol
_atom_site_fract_x
_atom_site_fract_y
_atom_site_fract_z
_atom_site_occupancy
Mg1 Mg 0.000 0.000 0.000 1
H1 H 0.497 0.313 0.772 1
H2 H 0.499 0.327 0.075 1
H3 H 0.996 0.620 0.171 1
H4 H 0.997 0.619 0.871 1
Ir1 Ir 0.498 0.208 0.291 1
Ir2 Ir 0.498 0.698 0.724 1
Ir3 Ir 0.998 0.188 0.612 1
Ir4 Ir 0.998 0.706 0.384 1
```

---

Number 1: uncorrected energy -5.01 eV/atom. Number 2: uncorrected energy -4.41 eV/atom. Number 3: uncorrected energy -2.02 eV/atom. Number 4: uncorrected energy -4.46 eV/atom. Number 5: uncorrected energy -3.28 eV/atom. Number 6: uncorrected energy -6.82 eV/atom. Number 7: uncorrected energy -4.69 eV/atom. Number 8: uncorrected energy -5.58 eV/atom.